# 1
DFT (GGA-PBE) results for a geometry-optimized Sr3NdTe4 structure.

Computed properties:
Total magnetic moment in μB per atom: 0.00
Calculated total energy in eV per atom: -4.43
E_form (uncorrected) in eV per atom: -1.637

Lattice parameters (Å, degrees): 9.380 13.211 4.646 90.00 90.00 90.00
Space group Cmmm (No. 65)
Symmetry-distinct sites (fractional):
Sr (0.000, 0.000, 0.000)
Sr (0.250, 0.250, 0.500)
Nd (0.000, 0.500, 0.000)
Te (0.000, 0.255, 0.000)
Te (0.242, 0.500, 0.500)

# 2
DFT (GGA-PBE) results for a geometry-optimized Na3Cd8In2 structure.

Computed properties:
Total magnetic moment in μB per atom: 0.00
Calculated total energy in eV per atom: -1.31
Formation energy in eV/atom: -0.02

Lattice parameters (Å, degrees): 5.8112 5.8112 35.0184 90.00 90.00 120.00
Space group R-3m (No. 166, hexagonal axes)
Symmetry-distinct sites (fractional):
Na (0.0000, 0.0000, 0.0000)
Na (0.0000, 0.0000, 0.1822)
Cd (0.0000, 0.0000, 0.2730)
Cd (0.0011, 0.5006, 0.7653)
In (0.0000, 0.0000, 0.3555)

# 3
DFT (GGA-PBE) results for a geometry-optimized BeAlAs structure.

Computed properties:
Total magnetic moment in μB per atom: 0.00
Relative energy among the computed polymorphs in eV/atom: 0.201
Calculated total energy in eV per atom: -3.72
Formation energy in eV/atom: 0.31

Lattice parameters (Å, degrees): 3.852 4.420 10.566 90.00 90.00 90.00
Space group Fmm2 (No. 42)
Symmetry-distinct sites (fractional):
Be (0.000, 0.000, 0.000)
Al (0.000, 0.000, 0.350)
As (0.000, 0.000, 0.637)

# 4
DFT (GGA-PBE) results for a geometry-optimized ZrMn2AlH structure.

Computed properties:
Total magnetic moment in μB per atom: 0.83
Calculated total energy in eV per atom: -6.93

Lattice parameters (Å, degrees): 3.985 3.985 4.019 90.00 90.00 90.00
Space group P4/mmm (No. 123)
Symmetry-distinct sites (fractional):
Zr (0.000, 0.000, 0.000)
Mn (0.000, 0.500, 0.500)
Al (0.500, 0.500, 0.000)
H (0.000, 0.000, 0.500)

# 5
DFT (GGA-PBE) results for a geometry-optimized SrSn3As structure.

Computed properties:
Total magnetic moment in μB per atom: 0.00
Relative energy among the computed polymorphs in eV/atom: 0.000
Calculated total energy in eV per atom: -3.61
Formation energy in eV/atom: 0.06

Lattice parameters (Å, degrees): 5.512 5.512 5.512 90.00 90.00 90.00
Space group Pm-3m (No. 221)
Symmetry-distinct sites (fractional):
Sr (0.000, 0.000, 0.000)
Sn (0.000, 0.500, 0.500)
As (0.500, 0.500, 0.500)

# 6
DFT (GGA-PBE) results for a geometry-optimized AlGaHg structure.

Computed properties:
Total magnetic moment in μB per atom: 0.00
Calculated total energy in eV per atom: -2.26
Formation energy in eV/atom: 0.09

Lattice parameters (Å, degrees): 3.000 6.281 6.593 90.00 90.00 90.00
Space group Pmc2_1 (No. 26)
Symmetry-distinct sites (fractional):
Al (0.000, 0.243, 0.000)
Ga (0.500, 0.080, 0.319)
Hg (0.500, 0.389, 0.638)

# 7
DFT (GGA-PBE) results for a geometry-optimized In2Hg4Bi structure.

Computed properties:
Total magnetic moment in μB per atom: 0.00
Calculated total energy in eV per atom: -1.49
Formation energy in eV/atom: 0.02

Lattice parameters (Å, degrees): 3.247 3.472 19.945 86.99 87.99 62.14
Space group P-1 (No. 2)
Symmetry-distinct sites (fractional):
In (0.040, 0.052, 0.209)
Hg (0.458, 0.550, 0.074)
Hg (0.487, 0.465, 0.656)
Bi (0.500, 0.500, 0.500)

# 8
DFT (GGA-PBE) results for a geometry-optimized UPd7 structure.

Computed properties:
Total magnetic moment in μB per atom: 0.12
Calculated total energy in eV per atom: -6.30
Formation energy in eV/atom: -0.35

Lattice parameters (Å, degrees): 4.111 4.111 15.597 90.00 90.00 90.00
Space group I4/mmm (No. 139)
Symmetry-distinct sites (fractional):
U (0.000, 0.000, 0.000)
Pd (0.000, 0.000, 0.251)
Pd (0.000, 0.000, 0.500)
Pd (0.000, 0.500, 0.125)

# 9
DFT (GGA-PBE) results for a geometry-optimized NbAg3Bi structure.

Computed properties:
Total magnetic moment in μB per atom: 0.87
Relative energy among the computed polymorphs in eV/atom: 0.047
Calculated total energy in eV per atom: -3.17
Formation energy in eV/atom: 1.33

Lattice parameters (Å, degrees): 5.298 5.298 5.298 90.00 90.00 90.00
Space group Pm-3m (No. 221)
Symmetry-distinct sites (fractional):
Nb (0.000, 0.000, 0.000)
Ag (0.000, 0.500, 0.500)
Bi (0.500, 0.500, 0.500)

# 10
DFT (GGA-PBE) results for a geometry-optimized HfGa3As structure.

Computed properties:
Total magnetic moment in μB per atom: 0.00
Relative energy among the computed polymorphs in eV/atom: 0.143
Calculated total energy in eV per atom: -3.93
Formation energy in eV/atom: 0.80

Lattice parameters (Å, degrees): 5.206 5.206 5.206 90.00 90.00 90.00
Space group Pm-3m (No. 221)
Symmetry-distinct sites (fractional):
Hf (0.000, 0.000, 0.000)
Ga (0.000, 0.000, 0.500)
As (0.500, 0.500, 0.500)

# 11
DFT (GGA-PBE) results for a geometry-optimized Ce3Tc2 structure.

Computed properties:
Total magnetic moment in μB per atom: 0.00
Relative energy among the computed polymorphs in eV/atom: 0.129
Calculated total energy in eV per atom: -7.64
Formation energy in eV/atom: 0.06

Lattice parameters (Å, degrees): 7.576 10.084 6.395 90.00 90.00 90.00
Space group Ibam (No. 72)
Symmetry-distinct sites (fractional):
Ce (0.000, 0.000, 0.250)
Ce (0.133, 0.324, 0.000)
Tc (0.233, 0.397, 0.500)

# 12
DFT (GGA-PBE) results for a geometry-optimized MnIn2SiS6 structure.

Computed properties:
Total magnetic moment in μB per atom: 0.10
Calculated total energy in eV per atom: -4.90
E_form (uncorrected) in eV per atom: -0.418

Lattice parameters (Å, degrees): 11.977 10.896 6.237 90.00 97.27 90.00
Space group C2/c (No. 15)
Symmetry-distinct sites (fractional):
Mn (0.000, 0.082, 0.250)
In (0.188, 0.398, 0.281)
Si (0.000, 0.243, 0.750)
S (0.097, 0.081, 0.601)
S (0.109, 0.213, 0.082)
S (0.129, 0.388, 0.651)

# 13
DFT (GGA-PBE) results for a geometry-optimized HoTiRu2 structure.

Computed properties:
Total magnetic moment in μB per atom: 0.00
Calculated total energy in eV per atom: -8.19
Formation energy in eV/atom: -0.43

Lattice parameters (Å, degrees): 4.577 4.577 3.233 90.00 90.00 90.00
Space group P4/mmm (No. 123)
Symmetry-distinct sites (fractional):
Ho (0.000, 0.000, 0.000)
Ti (0.500, 0.500, 0.000)
Ru (0.000, 0.500, 0.500)